Record 1
# CsNaTePb | Alexandria via LeMat-Bulk | PBE | relaxed
data_CsNaTePb
_cell_length_a 4.718
_cell_length_b 4.718
_cell_length_c 15.806
_cell_angle_alpha 90.00
_cell_angle_beta 90.00
_cell_angle_gamma 90.00
_symmetry_space_group_name_H-M 'P 4/n m m'
_symmetry_Int_Tables_number 129
loop_
_symmetry_equiv_pos_as_xyz
'x,y,z'
'-x,-y,-z'
'-y+1/2,x,z'
'y+1/2,-x,-z'
'-x+1/2,-y+1/2,z'
'x+1/2,y+1/2,-z'
'y,-x+1/2,z'
'-y,x+1/2,-z'
'x+1/2,-y,-z'
'-x+1/2,y,z'
'-y,-x,-z'
'y,x,z'
'-x,y+1/2,-z'
'x,-y+1/2,z'
'y+1/2,x+1/2,-z'
'-y+1/2,-x+1/2,z'
loop_
_atom_site_label
_atom_site_type_symbol
_atom_site_fract_x
_atom_site_fract_y
_atom_site_fract_z
Cs1 Cs 0.250 0.250 0.242
Na1 Na 0.250 0.750 0.000
Te1 Te 0.250 0.250 0.872
Pb1 Pb 0.250 0.750 0.500
# Crystal system: tetragonal
# Formation energy (no corrections), eV/atom: -0.54
# Fermi-level density of states, states/eV per cell: 7.6


Record 2
# LiY3Mg12 | Alexandria via LeMat-Bulk | PBE | relaxed
data_LiY3Mg12
_cell_length_a 4.639
_cell_length_b 4.639
_cell_length_c 18.268
_cell_angle_alpha 90.00
_cell_angle_beta 90.00
_cell_angle_gamma 90.00
_symmetry_space_group_name_H-M 'P 4/m m m'
_symmetry_Int_Tables_number 123
_symmetry_space_group_name_Hall '-P 4 2'
loop_
_atom_site_label
_atom_site_type_symbol
_atom_site_fract_x
_atom_site_fract_y
_atom_site_fract_z
Li1 Li 0.000 0.000 0.000
Y1 Y 0.000 0.000 0.240
Y2 Y 0.000 0.000 0.500
Mg1 Mg 0.000 0.500 0.113
Mg2 Mg 0.000 0.500 0.370
Mg3 Mg 0.500 0.500 0.000
Mg4 Mg 0.500 0.500 0.238
Mg5 Mg 0.500 0.500 0.500
# Crystal system: tetragonal
# Fermi-level density of states, states/eV per cell: 9.0
# Energy of formation, eV per atom: -0.070


Record 3
# LaIrW2 | Alexandria via LeMat-Bulk | PBE | relaxed
data_LaIrW2
_cell_length_a 3.972
_cell_length_b 3.972
_cell_length_c 9.919
_cell_angle_alpha 90.00
_cell_angle_beta 90.00
_cell_angle_gamma 90.00
_symmetry_space_group_name_H-M 'I 4/m m m'
_symmetry_Int_Tables_number 139
_symmetry_space_group_name_Hall '-I 4 2'
loop_
_atom_site_label
_atom_site_type_symbol
_atom_site_fract_x
_atom_site_fract_y
_atom_site_fract_z
La1 La 0.000 0.000 0.000
Ir1 Ir 0.000 0.000 0.500
W1 W 0.000 0.500 0.250
# Crystal system: tetragonal
# Fermi-level density of states, states/eV per cell: 6.1
# Energy above the lowest structure with this stoichiometry, meV per atom: 426
# Energy of formation, eV per atom: 0.641


Record 4
# LaCdCl2 | Alexandria via LeMat-Bulk | PBE | relaxed
data_LaCdCl2
_cell_length_a 7.486
_cell_length_b 7.486
_cell_length_c 7.486
_cell_angle_alpha 90.00
_cell_angle_beta 90.00
_cell_angle_gamma 90.00
_symmetry_space_group_name_H-M 'F -4 3 m'
_symmetry_Int_Tables_number 216
_symmetry_space_group_name_Hall 'F -4 2 3'
loop_
_atom_site_label
_atom_site_type_symbol
_atom_site_fract_x
_atom_site_fract_y
_atom_site_fract_z
La1 La 0.000 0.000 0.000
Cd1 Cd 0.250 0.250 0.750
Cl1 Cl 0.000 0.000 0.500
Cl2 Cl 0.250 0.250 0.250
# Crystal system: cubic
# Formation energy (no corrections), eV/atom: -0.93
# Fermi-level density of states, states/eV per cell: 18.7
# Energy above the lowest structure with this stoichiometry, meV per atom: 499


Record 5
# La2TlCd | Alexandria via LeMat-Bulk | PBE | relaxed
data_La2TlCd
_cell_length_a 7.850
_cell_length_b 7.850
_cell_length_c 7.850
_cell_angle_alpha 90.00
_cell_angle_beta 90.00
_cell_angle_gamma 90.00
_symmetry_space_group_name_H-M 'F -4 3 m'
_symmetry_Int_Tables_number 216
_symmetry_space_group_name_Hall 'F -4 2 3'
loop_
_atom_site_label
_atom_site_type_symbol
_atom_site_fract_x
_atom_site_fract_y
_atom_site_fract_z
La1 La 0.000 0.000 0.000
La2 La 0.250 0.250 0.250
Tl1 Tl 0.250 0.250 0.750
Cd1 Cd 0.000 0.000 0.500
# Crystal system: cubic
# Fermi-level density of states, states/eV per cell: 23.5
# Energy above the lowest structure with this stoichiometry, meV per atom: 382
# Energy of formation, eV per atom: -0.004


Record 6
# BaZnIr2 | Alexandria via LeMat-Bulk | PBE | relaxed
data_BaZnIr2
_cell_length_a 3.072
_cell_length_b 5.301
_cell_length_c 9.648
_cell_angle_alpha 90.00
_cell_angle_beta 90.00
_cell_angle_gamma 90.00
_symmetry_space_group_name_H-M 'I m m m'
_symmetry_Int_Tables_number 71
_symmetry_space_group_name_Hall '-I 2 2'
loop_
_atom_site_label
_atom_site_type_symbol
_atom_site_fract_x
_atom_site_fract_y
_atom_site_fract_z
Ba1 Ba 0.000 0.000 0.000
Zn1 Zn 0.000 0.000 0.500
Ir1 Ir 0.000 0.500 0.218
# Crystal system: orthorhombic
# Fermi-level density of states, states/eV per cell: 7.6
# Energy of formation, eV per atom: 0.492


Record 7
# TbPu2NpSe4 | Alexandria via LeMat-Bulk | PBE | relaxed
data_TbPu2NpSe4
_cell_length_a 7.088
_cell_length_b 4.004
_cell_length_c 7.224
_cell_angle_alpha 90.00
_cell_angle_beta 90.07
_cell_angle_gamma 90.00
_symmetry_space_group_name_H-M 'P 1 2/m 1'
_symmetry_Int_Tables_number 10
_symmetry_space_group_name_Hall '-P 2y'
loop_
_atom_site_label
_atom_site_type_symbol
_atom_site_fract_x
_atom_site_fract_y
_atom_site_fract_z
Tb1 Tb 0.000 0.000 0.000
Pu1 Pu 0.000 0.000 0.500
Pu2 Pu 0.500 0.500 0.000
Np1 Np 0.500 0.500 0.500
Se1 Se 0.167 0.500 0.246
Se2 Se 0.328 0.000 0.752
# Crystal system: monoclinic
# Formation energy (no corrections), eV/atom: -1.30
# Fermi-level density of states, states/eV per cell: 30.8


Record 8
# Pm6Ni2PdBr3 | Alexandria via LeMat-Bulk | PBE | relaxed
data_Pm6Ni2PdBr3
_cell_length_a 19.413
_cell_length_b 4.097
_cell_length_c 9.045
_cell_angle_alpha 90.00
_cell_angle_beta 110.71
_cell_angle_gamma 90.00
_symmetry_space_group_name_H-M 'C 1 2/m 1'
_symmetry_Int_Tables_number 12
_symmetry_space_group_name_Hall '-C 2y'
loop_
_atom_site_label
_atom_site_type_symbol
_atom_site_fract_x
_atom_site_fract_y
_atom_site_fract_z
Pm1 Pm 0.017 0.000 0.232
Pm2 Pm 0.159 0.500 0.125
Pm3 Pm 0.180 0.500 0.554
Ni1 Ni 0.168 0.000 0.338
Pd1 Pd 0.000 0.500 0.000
Br1 Br 0.000 0.500 0.500
Br2 Br 0.167 0.000 0.833
# Crystal system: monoclinic
# Formation energy (no corrections), eV/atom: -0.87
# Fermi-level density of states, states/eV per cell: 19.9


Number 1: volume 351.9 Å³ per cell. Number 2: volume 393.2 Å³ per cell. Number 3: volume 156.5 Å³ per cell. Number 4: volume 419.6 Å³ per cell. Number 5: volume 483.7 Å³ per cell. Number 6: volume 157.1 Å³ per cell. Number 7: volume 205.0 Å³ per cell. Number 8: volume 672.9 Å³ per cell.